Hf2CdCo2 | GGA-PBEsol | optimized geometry

```
10
Lattice="4.242 0.000 0.000 0.000 4.242 0.000 0.000 0.000 9.754" Properties=species:S:1:pos:R:3 pbc="T T T"
Hf 0.000 2.121 2.438
Hf 0.000 2.121 7.315
Hf 2.121 0.000 2.438
Hf 2.121 0.000 7.315
Cd 0.000 0.000 0.000
Cd 2.121 2.121 4.877
Co 0.000 0.000 3.797
Co 0.000 0.000 5.956
Co 2.121 2.121 1.079
Co 2.121 2.121 8.674
```

- magnetization (Bohr magnetons per cell) = 0.000
- calculated formation energy (eV/atom) = -0.023